Here is a relaxed Ta2HgCl crystal from the Alexandria database. Energies are from PBE.

a b c (Å): 4.671 4.671 4.671
angles (deg): 60.00 60.00 60.00
Sites, in units of the cell vectors:
Hg1 0.500 0.500 0.500
Cl1 0.000 0.000 0.000
Ta1 0.750 0.750 0.750
Ta2 0.250 0.250 0.250

Density = 13782 kg/m3
ΔE_f (raw) = 0.6543 eV per atom
Fermi-level density of states = 6.19 states/eV/cell
Energy relative to the lowest polymorph listed for this composition = 679 meV per atom

Here is a relaxed Ta2HgCl crystal from the Alexandria database. Energies are from PBE.

a b c (Å): 5.402 5.402 5.402
angles (deg): 135.32 135.32 65.04
Sites, in units of the cell vectors:
Ta1 0.000 0.000 0.000
Ta2 0.250 0.750 0.500
Hg1 0.750 0.250 0.500
Cl1 0.500 0.500 0.000

Density = 12924 kg/m3
ΔE_f (raw) = 0.8573 eV per atom
Fermi-level density of states = 5.66 states/eV/cell
Energy relative to the lowest polymorph listed for this composition = 882 meV per atom

Here is a relaxed Ta2HgCl crystal from the Alexandria database. Energies are from PBE.

a b c (Å): 3.004 3.004 7.762
angles (deg): 90.00 90.00 90.00
Sites, in units of the cell vectors:
Cl1 0.500 0.500 0.250
Ta1 0.000 0.000 0.477
Ta2 0.000 0.000 0.023
Hg1 0.500 0.500 0.750

Density = 14179 kg/m3
ΔE_f (raw) = 0.5423 eV per atom
Fermi-level density of states = 2.95 states/eV/cell
Energy relative to the lowest polymorph listed for this composition = 567 meV per atom

Here is a relaxed TaHg3Cl crystal from the Alexandria database. Energies are from PBE.

a b c (Å): 5.476 5.476 5.476
angles (deg): 90.00 90.00 90.00
Sites, in units of the cell vectors:
Hg1 0.500 0.000 0.000
Hg2 0.000 0.500 0.000
Hg3 0.000 0.000 0.500
Ta1 0.000 0.000 0.000
Cl1 0.500 0.500 0.500

Density = 8272 kg/m3
ΔE_f (raw) = 0.6743 eV per atom
Fermi-level density of states = 4.86 states/eV/cell
Energy relative to the lowest polymorph listed for this composition = 0 meV per atom

Here is a relaxed Ta2HgCl crystal from the Alexandria database. Energies are from PBE.

a b c (Å): 9.427 9.427 9.427
angles (deg): 18.35 18.35 18.35
Sites, in units of the cell vectors:
Hg1 0.750 0.750 0.750
Cl1 0.250 0.250 0.250
Ta1 0.506 0.506 0.506
Ta2 0.994 0.994 0.994

Density = 13689 kg/m3
ΔE_f (raw) = 0.2904 eV per atom
Fermi-level density of states = 4.43 states/eV/cell
Energy relative to the lowest polymorph listed for this composition = 315 meV per atom

Here is a relaxed Ta2HgCl crystal from the Alexandria database. Energies are from PBE.

a b c (Å): 4.677 2.950 5.830
angles (deg): 75.40 90.00 90.00
Sites, in units of the cell vectors:
Ta1 0.500 0.419 0.285
Ta2 0.000 0.039 0.047
Hg1 0.500 0.681 0.765
Cl1 0.000 0.361 0.404

Density = 12756 kg/m3
ΔE_f (raw) = 0.2734 eV per atom
Fermi-level density of states = 3.11 states/eV/cell
Energy relative to the lowest polymorph listed for this composition = 298 meV per atom